DFT (PBE with a Hubbard U) results for an optimized crystal structure of UMo2O6.

Cell: 4.5639 9.6420 9.6420 Å, 120.00 90.00 90.00°
With the nearest neighbours (Å) after each atom.
Sites, in units of the cell vectors:
O1 0.7868 0.1119 0.2238  1 U 2.11, 2 Mo 2.14
Mo1 0.0000 0.3403 0.0000  6 O 2.14-2.19
Mo2 0.0000 0.0000 0.3403  6 O 2.14-2.19
O2 0.2132 0.8881 0.7762  1 U 2.11, 2 Mo 2.14
O3 0.7577 0.4519 0.2260  1 U 2.14, 2 Mo 2.19
U1 0.0000 0.0000 0.0000  6 O 2.11
O4 0.2132 0.2238 0.1119  1 U 2.11, 2 Mo 2.14
U2 0.4962 0.3333 0.6667  6 O 2.14
O5 0.2423 0.2260 0.4519  1 U 2.14, 2 Mo 2.19
Mo3 0.0000 0.6597 0.6597  6 O 2.14-2.19
Mo4 0.0000 0.0000 0.6597  6 O 2.14-2.19
O6 0.2474 0.5596 0.1192  1 U 2.14, 2 Mo 2.15
O7 0.2474 0.5596 0.4404  1 U 2.14, 2 Mo 2.15
O8 0.7577 0.7740 0.5481  1 U 2.14, 2 Mo 2.19
O9 0.2423 0.5481 0.7740  1 U 2.14, 2 Mo 2.19
O10 0.2423 0.2260 0.7740  1 U 2.14, 2 Mo 2.19
Mo5 0.0000 0.6597 0.0000  6 O 2.14-2.19
O11 0.7868 0.7762 0.8881  1 U 2.11, 2 Mo 2.14
O12 0.7526 0.4404 0.8808  1 U 2.14, 2 Mo 2.15
O13 0.7526 0.1192 0.5596  1 U 2.14, 2 Mo 2.15
Mo6 0.0000 0.3403 0.3403  6 O 2.14-2.19
O14 0.2132 0.8881 0.1119  1 U 2.11, 2 Mo 2.14
O15 0.7526 0.4404 0.5596  1 U 2.14, 2 Mo 2.15
U3 0.5038 0.6667 0.3333  6 O 2.14
O16 0.2474 0.8808 0.4404  1 U 2.14, 2 Mo 2.15
O17 0.7577 0.7740 0.2260  1 U 2.14, 2 Mo 2.19
O18 0.7868 0.1119 0.8881  1 U 2.11, 2 Mo 2.14

Output
E   -225.85 eV for the cell shown